No. 1
DFT (PBE-GGA) results for a relaxed structure of LaTiO3.

Results
- Magnetization: 0.44 μB per formula unit
- Formation energy (no corrections): -3.0738 eV per atom

```
10
Lattice="3.832 0.000 0.000 0.000 5.535 0.000 0.000 -2.767 5.931" Properties=species:S:1:pos:R:3 pbc="T T T"
O 0.000 2.767 4.265
Ti 1.916 2.767 4.570
O 1.916 1.384 2.966
O 1.916 1.477 0.000
O 1.916 -1.384 2.966
O 1.916 4.058 0.000
La 0.000 2.767 1.768
Ti 1.916 0.000 1.362
La 0.000 0.000 4.164
O 0.000 0.000 1.667
```

No. 2
DFT (PBE-GGA) results for a relaxed structure of LaTiO3.

Results
- Magnetization: 0.50 μB per formula unit
- Formation energy (no corrections): -1.1420 eV per atom

```
5
Lattice="-3.076 -2.484 -2.050 3.172 -2.828 -1.334 -0.558 -2.381 3.722" Properties=species:S:1:pos:R:3 pbc="T T T"
La 0.000 0.000 0.000
O -1.538 -1.242 -1.025
O -0.279 -1.190 1.861
O 1.586 -1.414 -0.667
Ti -0.231 -3.846 0.169
```

No. 3
DFT (PBE-GGA) results for a relaxed structure of LaTiO3.

Results
- Magnetization: 0.04 μB per formula unit
- Formation energy (no corrections): -3.2217 eV per atom

```
20
Lattice="-0.335 5.562 0.201 -0.535 0.171 -5.628 -7.896 -0.502 0.736" Properties=species:S:1:pos:R:3 pbc="T T T"
O -0.677 3.973 -1.461
O -0.973 4.518 -4.258
O -2.647 2.446 -5.284
O -4.711 1.473 -3.545
O -7.794 0.712 -0.433
Ti -4.216 -0.166 -2.446
Ti -0.168 2.781 0.101
Ti -4.116 2.530 0.469
O -2.258 0.336 -2.543
O -4.056 3.758 -1.146
O -6.119 2.784 0.593
O -4.415 0.927 -0.748
O -4.351 4.303 -3.943
O -6.509 4.895 -2.148
La -2.435 2.783 -2.780
La -6.436 -0.179 -4.823
O -8.089 1.258 -3.230
La -2.331 5.409 0.132
La -6.331 2.447 -1.911
Ti -0.268 0.086 -2.814
```

No. 4
DFT (PBE-GGA) results for a relaxed structure of La5Ti4O15.

Results
- Magnetization: 0.01 μB per formula unit
- Formation energy (no corrections): -3.2833 eV per atom

```
48
Lattice="-1.963 -3.280 4.036 4.652 -1.400 -2.703 12.175 11.295 15.100" Properties=species:S:1:pos:R:3 pbc="T T T"
Ti 10.259 9.517 12.724
O 5.106 4.007 9.568
O 8.413 4.947 6.198
O 7.431 3.307 8.216
O 8.861 6.413 11.291
Ti 4.172 3.870 5.174
Ti 11.794 8.064 16.118
O 10.897 8.929 14.588
O 6.002 0.202 5.141
O 3.921 -1.231 4.310
Ti 3.069 -1.450 0.314
La 6.087 5.647 7.550
O 10.975 4.872 7.500
O 2.328 -0.005 1.438
La 5.060 0.398 2.784
La 3.716 0.570 6.099
O -0.982 -1.640 2.018
O 8.574 5.907 8.662
Ti 1.916 1.777 2.376
La 13.293 8.036 12.996
La 7.657 4.226 10.987
La 11.147 6.045 10.334
O 2.326 -0.700 -1.352
O 6.289 0.707 7.771
Ti 8.003 7.424 9.926
O 7.356 1.446 3.119
O 1.718 -0.998 5.911
O 5.073 2.562 4.125
O 9.678 3.446 9.613
O 2.257 0.921 4.041
La 1.570 -1.421 3.437
O 12.606 5.694 12.392
Ti 9.156 4.198 7.864
O 10.942 7.846 12.123
O 3.888 1.743 8.932
La 0.000 0.000 0.000
O 3.966 -2.315 1.845
O 12.535 6.620 14.995
O 5.185 3.169 6.819
O 4.670 -0.397 -0.157
O 9.790 4.052 12.308
O 10.193 7.012 16.590
O 7.507 5.169 13.314
La 7.206 2.388 5.446
O 13.145 7.612 10.521
La 9.803 6.217 13.649
O 1.344 -2.340 0.666
Ti 5.707 2.417 8.568
```

No. 5
DFT (PBE-GGA) results for a relaxed structure of LaTi4O8.

Results
- Magnetization: 0.00 μB per formula unit
- Formation energy (no corrections): -2.9179 eV per atom

```
13
Lattice="-5.431 1.381 2.222 -3.008 -4.494 2.664 -0.428 0.275 6.007" Properties=species:S:1:pos:R:3 pbc="T T T"
O -6.497 -2.079 7.980
O -4.147 -2.666 7.004
Ti -1.718 -2.110 4.335
Ti -2.930 0.828 4.114
O -6.295 -2.192 5.379
Ti -4.434 -1.419 5.446
O -5.187 -0.144 6.814
O -4.721 -0.172 3.888
Ti -4.220 -1.557 2.443
La 0.000 0.000 0.000
O -2.371 -0.759 2.913
O -2.573 -0.647 5.513
O -3.681 -2.694 4.078
```

No. 6
DFT (PBE-GGA) results for a relaxed structure of LaTi2O6.

Results
- Magnetization: 0.90 μB per formula unit
- Formation energy (no corrections): -2.9353 eV per atom

```
9
Lattice="-1.390 3.582 0.222 -0.867 -0.104 -3.749 -7.241 -2.919 1.756" Properties=species:S:1:pos:R:3 pbc="T T T"
O -5.929 -0.319 1.380
Ti -6.716 -0.513 -0.409
O -2.702 0.982 0.598
O -5.667 -2.162 -0.605
La -3.620 -1.460 0.878
O -1.129 1.739 -1.763
Ti -2.783 1.072 -1.362
O -4.749 0.280 -0.885
O -2.441 -0.861 -1.388
```

No. 7
DFT (PBE-GGA) results for a relaxed structure of La2Ti2O7.

Results
- Magnetization: 0.00 μB per formula unit
- Formation energy (no corrections): -3.3407 eV per atom

```
44
Lattice="5.602 0.000 0.000 0.000 7.798 0.002 0.000 1.959 13.116" Properties=species:S:1:pos:R:3 pbc="T T T"
O 1.180 1.951 4.004
O 3.807 5.849 1.211
O 2.548 5.438 10.102
O 3.237 2.093 7.489
O 4.512 1.950 1.431
O 0.101 4.160 0.283
O 3.981 7.805 9.114
La 2.001 7.780 7.572
O 2.577 2.371 10.139
La 1.413 5.844 1.535
O 5.378 7.386 2.979
O 1.902 5.843 4.030
O 5.320 1.808 10.699
O 3.311 5.732 7.359
O 4.703 3.914 9.087
Ti 4.464 1.899 8.903
O 0.510 4.025 5.758
Ti 1.701 3.897 4.269
Ti 4.292 7.784 1.577
La 4.214 3.912 11.582
Ti 1.491 1.973 11.541
La 1.697 3.934 8.058
Ti 4.502 5.860 8.848
O 0.436 7.664 5.628
O 2.496 3.755 2.396
Ti 1.663 7.858 4.214
O 1.006 3.908 11.907
O 0.448 6.022 7.973
O 5.297 6.002 10.722
La 1.453 1.961 1.230
O 2.899 2.222 12.861
O 1.711 7.806 11.687
O 0.098 7.535 0.257
O 2.902 5.597 12.835
O 5.349 4.319 3.016
O 3.132 7.951 5.327
La 4.254 7.796 11.888
La 4.498 5.823 5.059
Ti 4.283 3.922 1.602
La 4.802 1.977 5.546
O 0.331 1.806 7.791
O 2.519 7.949 2.419
O 3.249 3.735 5.145
Ti 1.482 5.835 11.516
```

No. 8
DFT (PBE-GGA) results for a relaxed structure of LaTi2O6.

Results
- Magnetization: 1.00 μB per formula unit
- Formation energy (no corrections): -2.9323 eV per atom

```
9
Lattice="-3.244 -2.602 3.127 4.702 -1.952 -1.076 1.948 2.452 4.062" Properties=species:S:1:pos:R:3 pbc="T T T"
Ti 0.378 -1.160 3.757
O 2.301 -1.110 4.178
O -1.473 -0.926 3.130
O 0.177 0.775 4.059
La 0.000 0.000 0.000
O 3.141 1.018 2.491
Ti 3.027 -0.943 2.356
O 3.508 -0.518 0.495
O 1.105 -0.993 1.935
```

No. 9
DFT (PBE-GGA) results for a relaxed structure of La4Ti3O12.

Results
- Polymorph energy (0 for the lowest one): 0 meV/atom
- Magnetization: 0.00 μB per formula unit
- Formation energy (no corrections): -3.3370 eV per atom

```
19
Lattice="9.359 -0.003 -0.002 7.684 5.344 -0.002 7.684 2.408 4.771" Properties=species:S:1:pos:R:3 pbc="T T T"
La 3.320 1.041 0.640
O 14.030 2.691 2.133
La 21.407 6.709 4.127
Ti 10.493 3.289 2.023
O 11.670 3.232 0.554
O 11.427 2.301 3.327
Ti 14.234 4.461 2.744
O 8.875 3.157 3.381
La 17.621 5.522 3.397
Ti 0.000 0.000 0.000
O 10.696 5.058 2.635
O 13.300 5.448 1.441
O 15.638 3.617 4.085
La 7.106 2.227 1.370
O 14.905 6.331 3.474
O 15.852 4.592 1.387
O 9.822 1.418 1.294
O 9.089 4.133 0.683
O 13.057 4.518 4.213
```